Entry 1:
Density functional theory data (PBE) for an optimized crystal structure of K2Na2Bi.

The structure in extended XYZ format:
```
10
Lattice="-6.2942 -4.4318 -3.0345 -0.9881 -3.6397 7.3650 -3.8949 4.4005 1.6521" Properties=species:S:1:pos:R:3 pbc="T T T"
K -4.0438 0.1412 1.3682
K -7.2936 -2.4530 0.6165
K -3.8836 -1.2179 5.3661
K -7.1334 -3.8121 4.6144
Na -6.0045 -6.1346 2.1839
Na -3.0596 -4.6634 5.2081
Na -4.2227 -3.4080 -0.8777
Na -1.2777 -1.9368 2.1465
Bi -3.6411 -4.0357 2.1652
Bi 0.0000 0.0000 0.0000
```

magnetization = 1.58 μB per cell
space-group type = P4/mbm (127)
energy of formation from the pure elements = -0.1806 eV/atom
total DFT energy (no corrections) = -19.235 eV for the cell shown
distance to the lowest polymorph of the same formula = 56.3 meV per atom

Entry 2:
Density functional theory data (PBE) for an optimized crystal structure of KNa12Bi6.

The structure in extended XYZ format:
```
19
Lattice="9.0798 0.1019 0.1434 -2.1521 8.8217 0.1434 -2.1521 -2.7721 8.3761" Properties=species:S:1:pos:R:3 pbc="T T T"
Na 2.3878 -1.4008 7.5103
Na -1.9490 6.4426 4.3315
Na 2.0560 5.9503 4.8822
Na 2.3878 7.5523 1.1527
Na 6.7247 -0.2912 4.3315
Na 6.7247 4.1854 1.1527
Na 2.7197 3.5032 1.4360
Na -0.4793 2.6846 3.7807
Na 5.2549 3.4668 4.8822
Na -1.9490 1.9661 7.5103
Na 2.0560 2.6483 7.2270
Na 2.7197 0.2012 3.7807
K 0.0000 0.0000 0.0000
Bi 0.2337 0.3010 6.0052
Bi 4.5420 5.8505 2.6577
Bi 4.5420 0.5810 6.3995
Bi 0.2337 5.5705 2.2634
Bi -0.5630 4.5442 6.3995
Bi 5.3387 1.6072 2.2634
```

magnetization = 0.00 μB per cell
space-group type = R-3m (166)
energy of formation from the pure elements = -0.2108 eV/atom
total DFT energy (no corrections) = -44.216 eV for the cell shown

Entry 3:
Density functional theory data (PBE) for an optimized crystal structure of K2Na2Bi3.

The structure in extended XYZ format:
```
7
Lattice="-3.2297 -2.7812 -3.2186 5.0328 -4.0843 2.9104 -6.6114 1.9802 4.9232" Properties=species:S:1:pos:R:3 pbc="T T T"
K -4.0931 -0.1138 4.2056
K -0.7153 -4.7715 0.4094
Bi -0.9024 -3.3652 3.8135
Bi -1.6149 -1.3906 -1.6093
Bi -3.9059 -1.5201 0.8016
Na -0.7651 -0.9596 1.5970
Na -4.0432 -3.9257 3.0181
```

magnetization = 0.00 μB per cell
space-group type = C2/m (12)
energy of formation from the pure elements = -0.3174 eV/atom
total DFT energy (no corrections) = -18.698 eV for the cell shown